Record 1
VASP calculation (GGA-PBE) on LiGeBi2 after structural relaxation.

```
LiGeBi2
1.0
1.9347 1.1170 8.1489
-1.9347 1.1170 8.1489
0.0000 -2.2340 8.1489
Li Ge Bi
1 1 2
Cartesian
0.0000 0.0000 0.0000 Li
0.0000 0.0000 12.2233 Ge
0.0000 0.0000 6.0203 Bi
0.0000 0.0000 18.4264 Bi
```

Calculated values
As for the space group: No. 166. The density is 7.8 g/cm3.

=====

Record 2
VASP calculation (GGA-PBE) on Li3GeBi after structural relaxation.

```
Li3GeBi
1.0
5.1344 0.0000 0.0000
0.0000 5.1344 0.0000
0.0000 0.0000 5.1344
Li Ge Bi
3 1 1
Cartesian
0.0000 0.0000 2.5672 Li
0.0000 2.5672 0.0000 Li
2.5672 0.0000 0.0000 Li
2.5672 2.5672 2.5672 Ge
0.0000 0.0000 0.0000 Bi
```

Calculated values
As for the space group: No. 221. The value obtained for the energy relative to the lowest polymorph listed for this composition is 542.0 meV per atom. The density is 3.7 g/cm3.

=====

It is found that the E_form values, taken in the order of the records, are 0.0282; 0.2312 eV/atom.